The following is a DFT calculation (PBE) of an optimized crystal structure of CaAgMo2.

abc: 5.6207 5.6207 5.6207
angles: 145.45 125.46 66.19
Element x y z (fractional)
Ca  0.0000  0.0000  0.0000
Ag  0.7267  0.2267  0.5000
Mo  0.2804  0.7804  0.5000
Mo  0.4632  0.4632  0.0000

## Properties
- Space-group type: No. 44
- Energy above the lowest structure with this stoichiometry: 0.89 eV per formula unit
- E_form: 549 meV/atom
- Calculated volume: 81.0 Å³/cell

=====

The following is a DFT calculation (PBE) of an optimized crystal structure of CaAgMo2.

abc: 6.0511 6.0511 6.0511
angles: 150.32 135.74 54.19
Element x y z (fractional)
Ca  0.0000  0.0000  0.0000
Ag  0.5000  0.5000  0.0000
Mo  0.2696  0.7696  0.5000
Mo  0.7304  0.2304  0.5000

## Properties
- Space-group type: No. 71
- Energy above the lowest structure with this stoichiometry: 0.97 eV per formula unit
- E_form: 569 meV/atom
- Calculated volume: 76.1 Å³/cell

=====

The following is a DFT calculation (PBE) of an optimized crystal structure of CaAg2Mo.

abc: 5.2947 5.2947 2.8851
angles: 90.00 90.00 107.26
Element x y z (fractional)
Ca  0.0000  0.0000  0.0000
Ag  0.0000  0.5000  0.5000
Ag  0.5000  0.0000  0.5000
Mo  0.5000  0.5000  0.0000

## Properties
- Space-group type: No. 65
- Energy above the lowest structure with this stoichiometry: 0.06 eV per formula unit
- E_form: 423 meV/atom
- Calculated volume: 77.2 Å³/cell